GaSeSN2 PBE-GGA optimized geometry; spin magnetization = 0.49 μB/cell; formation energy without anion corrections = 592 kJ/mol of formula units; space-group type = P4/mmm, No. 123; DFT total energy = -0.3109 Ry per atom
1.0
3.535 0.000 0.000
0.000 3.535 0.000
0.000 0.000 7.339
Ga Se S N
1 1 1 2
Cartesian
0.000 0.000 0.000
1.767 1.767 0.000
1.767 1.767 3.669
0.000 1.767 3.669
1.767 0.000 3.669